[1]
! InSi2Os GGA-PBE optimized geometry; values from VASP
! ΔE_f (raw), meV per atom: 608
! Mass density, g/cm³: 9.4
&SYSTEM
  ibrav = 0, nat = 4, ntyp = 3
/
ATOMIC_SPECIES
In 114.82 In.upf
Si 28.09 Si.upf
Os 190.23 Os.upf
CELL_PARAMETERS angstrom
-2.0062 2.0062 3.9473
2.0062 -2.0062 3.9473
2.0062 2.0062 -3.9473
ATOMIC_POSITIONS crystal
In 0.0000 0.0000 0.0000
Si 0.5000 0.5000 0.0000
Si 0.7500 0.2500 0.5000
Os 0.2500 0.7500 0.5000

[2]
! InSi2Os2 GGA-PBE optimized geometry; values from VASP
! ΔE_f (raw), meV per atom: 4
! Mass density, g/cm³: 12.0
! E above lowest polymorph, eV/atom: 0.182
&SYSTEM
  ibrav = 0, nat = 10, ntyp = 3
/
ATOMIC_SPECIES
In 114.82 In.upf
Si 28.09 Si.upf
Os 190.23 Os.upf
CELL_PARAMETERS angstrom
7.2300 0.0000 0.0000
0.0000 7.2300 0.0000
0.0000 0.0000 2.9156
ATOMIC_POSITIONS crystal
In 0.0000 0.0000 0.0000
In 0.5000 0.5000 0.0000
Si 0.1420 0.3580 0.5000
Si 0.3580 0.8580 0.5000
Si 0.6420 0.1420 0.5000
Si 0.8580 0.6420 0.5000
Os 0.1491 0.6491 0.0000
Os 0.3509 0.1491 0.0000
Os 0.6491 0.8509 0.0000
Os 0.8509 0.3509 0.0000

[3]
! InSi2Os GGA-PBE optimized geometry; values from VASP
! ΔE_f (raw), meV per atom: 395
! Mass density, g/cm³: 8.3
&SYSTEM
  ibrav = 0, nat = 4, ntyp = 3
/
ATOMIC_SPECIES
In 114.82 In.upf
Si 28.09 Si.upf
Os 190.23 Os.upf
CELL_PARAMETERS angstrom
1.5116 -2.4942 0.0000
1.5116 2.4942 0.0000
0.0000 0.0000 9.5606
ATOMIC_POSITIONS crystal
In 0.0000 0.0000 0.0000
Si 0.5000 0.5000 0.2991
Si 0.5000 0.5000 0.7009
Os 0.0000 0.0000 0.5000

[4]
! InSiSnOs2 GGA-PBE optimized geometry; values from VASP
! ΔE_f (raw), meV per atom: 1052
! Mass density, g/cm³: 10.5
&SYSTEM
  ibrav = 0, nat = 5, ntyp = 4
/
ATOMIC_SPECIES
In 114.82 In.upf
Si 28.09 Si.upf
Sn 118.71 Sn.upf
Os 190.23 Os.upf
CELL_PARAMETERS angstrom
4.5515 0.0000 0.0000
0.0000 4.5515 0.0000
0.0000 0.0000 4.9237
ATOMIC_POSITIONS crystal
In 0.0000 0.0000 0.0000
Si 0.0000 0.0000 0.5000
Sn 0.5000 0.5000 0.0000
Os 0.0000 0.5000 0.5000
Os 0.5000 0.0000 0.5000

[5]
! Sm6In3Os GGA-PBE optimized geometry; values from VASP
! Mass density, g/cm³: 8.6
! Formation energy, kJ/mol of atoms: -29.19
&SYSTEM
  ibrav = 0, nat = 20, ntyp = 3
/
ATOMIC_SPECIES
Sm 150.36 Sm.upf
In 114.82 In.upf
Os 190.23 Os.upf
CELL_PARAMETERS angstrom
9.4353 0.0000 0.0000
0.0000 5.3370 0.0000
-3.5220 0.0000 11.0624
ATOMIC_POSITIONS crystal
Sm 0.0416 0.2500 0.4156
Sm 0.1905 0.7500 0.1662
Sm 0.2849 0.2500 0.0040
Sm 0.3535 0.7500 0.8303
Sm 0.3770 0.2500 0.3502
Sm 0.3960 0.2500 0.6461
Sm 0.6040 0.7500 0.3539
Sm 0.6230 0.7500 0.6498
Sm 0.6465 0.2500 0.1697
Sm 0.7151 0.7500 0.9960
Sm 0.8095 0.2500 0.8338
Sm 0.9584 0.7500 0.5844
In 0.0131 0.7500 0.8779
In 0.0937 0.2500 0.7205
In 0.2709 0.7500 0.4740
In 0.7291 0.2500 0.5260
In 0.9063 0.7500 0.2795
In 0.9869 0.2500 0.1221
Os 0.4618 0.7500 0.0953
Os 0.5382 0.2500 0.9047

[6]
! Sm6InOs GGA-PBE optimized geometry; values from VASP
! Mass density, g/cm³: 7.5
! Formation energy, kJ/mol of atoms: -0.23
&SYSTEM
  ibrav = 0, nat = 8, ntyp = 3
/
ATOMIC_SPECIES
Sm 150.36 Sm.upf
In 114.82 In.upf
Os 190.23 Os.upf
CELL_PARAMETERS angstrom
4.0483 -5.1814 0.0000
4.0483 5.1814 0.0000
-1.7033 0.0000 6.3376
ATOMIC_POSITIONS crystal
Sm 0.0625 0.6902 0.7109
Sm 0.2840 0.2840 0.8567
Sm 0.3098 0.9375 0.2891
Sm 0.6902 0.0625 0.7109
Sm 0.7160 0.7160 0.1433
Sm 0.9375 0.3098 0.2891
In 0.5000 0.5000 0.5000
Os 0.0000 0.0000 0.0000

[7]
! Sm2InOs GGA-PBE optimized geometry; values from VASP
! Mass density, g/cm³: 10.0
! E above lowest polymorph, eV/atom: 0.000
! Formation energy, kJ/mol of atoms: -24.07
&SYSTEM
  ibrav = 0, nat = 4, ntyp = 3
/
ATOMIC_SPECIES
Sm 150.36 Sm.upf
In 114.82 In.upf
Os 190.23 Os.upf
CELL_PARAMETERS angstrom
3.4838 0.0000 0.0000
0.0000 3.4838 0.0000
0.0000 0.0000 8.2688
ATOMIC_POSITIONS crystal
Sm 0.0000 0.0000 0.2057
Sm 0.0000 0.0000 0.7943
In 0.5000 0.5000 0.5000
Os 0.5000 0.5000 0.0000

[8]
! Sm7In2Os2 GGA-PBE optimized geometry; values from VASP
! Mass density, g/cm³: 8.3
! Formation energy, kJ/mol of atoms: -16.73
&SYSTEM
  ibrav = 0, nat = 11, ntyp = 3
/
ATOMIC_SPECIES
Sm 150.36 Sm.upf
In 114.82 In.upf
Os 190.23 Os.upf
CELL_PARAMETERS angstrom
4.1712 -5.5796 0.0000
4.1712 5.5796 0.0000
0.0000 0.0000 7.1891
ATOMIC_POSITIONS crystal
Sm 0.0000 0.0000 0.0000
Sm 0.0000 0.5000 0.2488
Sm 0.0000 0.5000 0.7512
Sm 0.5000 0.0000 0.2488
Sm 0.5000 0.0000 0.7512
Sm 0.5000 0.5000 0.2423
Sm 0.5000 0.5000 0.7577
In 0.1725 0.1725 0.5000
In 0.8275 0.8275 0.5000
Os 0.2920 0.7080 0.0000
Os 0.7080 0.2920 0.0000

- mass density of number 3 (InSi2Os)?
  8.3 g/cm³

- Which formula does entry 1 have?
  InSi2Os

- mass density of number 1 (InSi2Os)?
  9.4 g/cm³